Arrangement a

A plane-wave DFT calculation with PBE-GGA was carried out for a relaxed structure of CsTlCdIn.

For the calculated density, the calculation gives 5.82 Mg/m³.

The structure belongs to space group R3m (No. 160, hexagonal axes); the cell edges are 5.0628, 5.0628 and 21.7810 Å and the angles 90.00°, 90.00° and 120.00°. The distinct sites, in fractional coordinates, are Cs at (0.0000, 0.0000, 0.0000), Tl at (0.0000, 0.0000, 0.2079), Cd at (0.0000, 0.0000, 0.4886) and In at (0.0000, 0.0000, 0.7950).

***

Arrangement b

A plane-wave DFT calculation with PBE-GGA was carried out for a relaxed structure of CsTlCdIn.

For the calculated density, the calculation gives 6.78 Mg/m³.

The structure belongs to space group F-43m (No. 216); the cell edges are 8.209, 8.209 and 8.209 Å and the angles 90.00°, 90.00° and 90.00°. The distinct sites, in fractional coordinates, are Cs at (0.000, 0.000, 0.000), Tl at (0.250, 0.250, 0.250), Cd at (0.250, 0.250, 0.750) and In at (0.000, 0.000, 0.500).

***

Verdict on stability: arrangement b comes out at the bottom.

***

Arrangement a

A plane-wave DFT calculation with PBE-GGA was carried out for a relaxed structure of Cs3KCd.

For the calculated density, the calculation gives 2.04 Mg/m³.

The structure belongs to space group Pm-3m (No. 221); the cell edges are 7.654, 7.654 and 7.654 Å and the angles 90.00°, 90.00° and 90.00°. The distinct sites, in fractional coordinates, are Cs at (0.000, 0.000, 0.500), K at (0.500, 0.500, 0.500) and Cd at (0.000, 0.000, 0.000).

***

Arrangement b

A plane-wave DFT calculation with PBE-GGA was carried out for a relaxed structure of Cs3KCd.

For the calculated density, the calculation gives 2.26 Mg/m³.

The structure belongs to space group P1 (No. 1); the cell edges are 5.339, 12.071 and 12.880 Å and the angles 87.07°, 90.00° and 77.26°. The distinct sites, in fractional coordinates, are Cs at (0.000, 0.000, 0.000), Cs at (0.125, 0.750, 0.492), Cs at (0.316, 0.368, 0.026), Cs at (0.453, 0.096, 0.682), Cs at (0.673, 0.655, 0.809), Cs at (0.810, 0.382, 0.464), K at (0.470, 0.059, 0.313), K at (0.653, 0.691, 0.179), Cd at (0.288, 0.428, 0.707) and Cd at (0.838, 0.324, 0.784).

***

Arrangement c

A plane-wave DFT calculation with PBE-GGA was carried out for a relaxed structure of Cs3KCd.

For the calculated density, the calculation gives 2.29 Mg/m³.

The structure belongs to space group P4_2/mnm (No. 136); the cell edges are 16.382, 16.382 and 5.934 Å and the angles 90.00°, 90.00° and 90.00°. The distinct sites, in fractional coordinates, are Cs at (0.011, 0.317, 0.000), Cs at (0.105, 0.895, 0.500), K at (0.186, 0.186, 0.500) and Cd at (0.067, 0.067, 0.000).

***

Arrangement d

A plane-wave DFT calculation with PBE-GGA was carried out for a relaxed structure of Cs3KCd.

For the calculated density, the calculation gives 1.47 Mg/m³.

The structure belongs to space group Pm-3m (No. 221); the cell edges are 8.539, 8.539 and 8.539 Å and the angles 90.00°, 90.00° and 90.00°. The distinct sites, in fractional coordinates, are Cs at (0.000, 0.000, 0.500), K at (0.000, 0.000, 0.000) and Cd at (0.500, 0.500, 0.500).

***

Verdict on stability: arrangement d comes out at the bottom.

***

Arrangement a

A plane-wave DFT calculation with PBE-GGA was carried out for a relaxed structure of Cs4KCd2.

For the calculated density, the calculation gives 2.47 Mg/m³.

The structure belongs to space group I4/mmm (No. 139); the cell edges are 7.405, 7.405 and 19.543 Å and the angles 90.00°, 90.00° and 90.00°. The distinct sites, in fractional coordinates, are Cs at (0.000, 0.000, 0.229), Cs at (0.000, 0.500, 0.000), K at (0.000, 0.000, 0.000) and Cd at (0.000, 0.000, 0.424).

***

Arrangement b

A plane-wave DFT calculation with PBE-GGA was carried out for a relaxed structure of Cs4KCd2.

For the calculated density, the calculation gives 2.25 Mg/m³.

The structure belongs to space group P2/m (No. 10); the cell edges are 9.428, 4.968 and 12.805 Å and the angles 90.00°, 101.66° and 90.00°. The distinct sites, in fractional coordinates, are Cs at (0.053, 0.000, 0.186), Cs at (0.442, 0.500, 0.777), K at (0.000, 0.500, 0.500) and Cd at (0.343, 0.000, 0.998).

***

Verdict on stability: arrangement a comes out at the bottom.

***

Arrangement a

A plane-wave DFT calculation with PBE-GGA was carried out for a relaxed structure of CsKCd.

For the calculated density, the calculation gives 2.52 Mg/m³.

The structure belongs to space group P-1 (No. 2); the cell edges are 5.259, 7.646 and 9.952 Å and the angles 110.34°, 90.05° and 90.03°. The distinct sites, in fractional coordinates, are Cs at (0.249, 0.026, 0.300), K at (0.250, 0.527, 0.818) and Cd at (0.251, 0.574, 0.467).

***

Arrangement b

A plane-wave DFT calculation with PBE-GGA was carried out for a relaxed structure of CsKCd.

For the calculated density, the calculation gives 2.48 Mg/m³.

The structure belongs to space group F-43m (No. 216); the cell edges are 9.129, 9.129 and 9.129 Å and the angles 90.00°, 90.00° and 90.00°. The distinct sites, in fractional coordinates, are Cs at (0.000, 0.000, 0.000), K at (0.000, 0.000, 0.500) and Cd at (0.250, 0.250, 0.250).

***

Arrangement c

A plane-wave DFT calculation with PBE-GGA was carried out for a relaxed structure of CsKCd.

For the calculated density, the calculation gives 2.39 Mg/m³.

The structure belongs to space group P1 (No. 1); the cell edges are 5.122, 5.123 and 17.618 Å and the angles 90.28°, 98.12° and 119.82°. The distinct sites, in fractional coordinates, are Cs at (0.000, 0.000, 0.000), Cs at (0.203, 0.106, 0.309), K at (0.503, 0.256, 0.759), K at (0.698, 0.850, 0.550), Cd at (0.435, 0.720, 0.155) and Cd at (0.768, 0.386, 0.155).

***

Arrangement d

A plane-wave DFT calculation with PBE-GGA was carried out for a relaxed structure of CsKCd.

For the calculated density, the calculation gives 2.78 Mg/m³.

The structure belongs to space group Fddd (No. 70, origin choice 2); the cell edges are 7.565, 13.225 and 27.126 Å and the angles 90.00°, 90.00° and 90.00°. The distinct sites, in fractional coordinates, are Cs at (0.125, 0.289, 0.125), K at (0.125, 0.125, 0.537) and Cd at (0.125, 0.125, 0.000).

***

Verdict on stability: arrangement b comes out at the bottom.